No. 1
## Cd2TcBPt (PBE)

Data for a relaxed Cd2TcBPt crystal.

Cell lengths 4.4667, 4.0908, 4.4667 Å; angles 90.00, 90.00, 90.00 degrees
Sites, in units of the cell vectors:
Tc1 0.0000 0.5000 0.0000
Pt1 0.5000 0.5000 0.5000
Cd1 0.5000 0.0000 0.0000
Cd2 0.0000 0.0000 0.5000
B1 0.0000 0.0000 0.0000

Summary:
As for the space-group type: No. 123. The value obtained for the formation energy is 215 kJ/mol of formula units.

No. 2
## UCd4B3Pt12 (PBE)

Data for a relaxed UCd4B3Pt12 crystal.

Cell lengths 7.7145, 7.7145, 7.7145 Å; angles 109.47, 109.47, 109.47 degrees
Sites, in units of the cell vectors:
Cd1 0.5000 0.0000 0.0000
Cd2 0.0000 0.5000 0.0000
Cd3 0.5000 0.5000 0.5000
Cd4 0.0000 0.0000 0.5000
B1 0.5000 0.0000 0.5000
B2 0.0000 0.5000 0.5000
B3 0.5000 0.5000 0.0000
Pt1 0.7205 0.0000 0.7205
Pt2 0.7500 0.5000 0.2500
Pt3 0.7205 0.7205 0.0000
Pt4 0.7500 0.2500 0.5000
Pt5 0.5000 0.2500 0.7500
Pt6 0.2795 0.0000 0.2795
Pt7 0.2500 0.5000 0.7500
Pt8 0.5000 0.7500 0.2500
Pt9 0.2795 0.2795 0.0000
Pt10 0.2500 0.7500 0.5000
Pt11 0.0000 0.7205 0.7205
Pt12 0.0000 0.2795 0.2795
U1 0.0000 0.0000 0.0000

Summary:
As for the space-group type: No. 229. The value obtained for the formation energy is 127 kJ/mol of formula units.

No. 3
## PuCdB (PBE)

Data for a relaxed PuCdB crystal.

Cell lengths 3.5244, 5.3747, 8.2104 Å; angles 127.34, 90.00, 109.14 degrees
Sites, in units of the cell vectors:
Cd1 0.3090 0.6180 0.3881
Cd2 0.6910 0.3820 0.6119
B1 0.3949 0.7898 0.9132
B2 0.6051 0.2102 0.0868
Pu1 0.9195 0.8390 0.1547
Pu2 0.0805 0.1610 0.8453

Summary:
As for the space-group type: No. 12. The value obtained for the formation energy is 35 kJ/mol of formula units.

No. 4
## PuCd2B2Rh5 (PBE)

Data for a relaxed PuCd2B2Rh5 crystal.

Cell lengths 2.9540, 10.0826, 10.0826 Å; angles 90.00, 90.00, 90.00 degrees
Sites, in units of the cell vectors:
Cd1 0.0000 0.1800 0.3200
Cd2 0.0000 0.8200 0.6800
Cd3 0.0000 0.6800 0.1800
Cd4 0.0000 0.3200 0.8200
Rh1 0.5000 0.9308 0.2335
Rh2 0.5000 0.2665 0.5692
Rh3 0.5000 0.2335 0.0692
Rh4 0.5000 0.4308 0.2665
Rh5 0.5000 0.7665 0.9308
Rh6 0.5000 0.5000 0.0000
Rh7 0.5000 0.0692 0.7665
Rh8 0.5000 0.5692 0.7335
Rh9 0.5000 0.0000 0.5000
Rh10 0.5000 0.7335 0.4308
Pu1 0.0000 0.0000 0.0000
Pu2 0.0000 0.5000 0.5000
B1 0.0000 0.3824 0.1176
B2 0.0000 0.1176 0.6176
B3 0.0000 0.6176 0.8824
B4 0.0000 0.8824 0.3824

Summary:
As for the space-group type: No. 127. The value obtained for the formation energy is -242 kJ/mol of formula units.

No. 5
## Rb3CdB (PBE)

Data for a relaxed Rb3CdB crystal.

Cell lengths 6.3808, 6.3808, 6.3808 Å; angles 90.00, 90.00, 90.00 degrees
Sites, in units of the cell vectors:
Rb1 0.0000 0.5000 0.0000
Rb2 0.0000 0.0000 0.5000
Rb3 0.5000 0.0000 0.0000
Cd1 0.5000 0.5000 0.5000
B1 0.0000 0.0000 0.0000

Summary:
As for the space-group type: No. 221. Its distance to the lowest polymorph of the same formula is 0 meV/atom. The value obtained for the formation energy is 377 kJ/mol of formula units.

No. 6
## RbCdBRh2 (PBE)

Data for a relaxed RbCdBRh2 crystal.

Cell lengths 4.3597, 4.6885, 4.3597 Å; angles 90.00, 90.00, 90.00 degrees
Sites, in units of the cell vectors:
Rh1 0.0000 0.0000 0.5000
Rh2 0.5000 0.0000 0.0000
B1 0.0000 0.0000 0.0000
Cd1 0.0000 0.5000 0.0000
Rb1 0.5000 0.5000 0.5000

Summary:
As for the space-group type: No. 123. The value obtained for the formation energy is 194 kJ/mol of formula units.

No. 7
## RbCd2BRh (PBE)

Data for a relaxed RbCd2BRh crystal.

Cell lengths 5.2110, 5.9709, 5.2110 Å; angles 90.00, 90.00, 90.00 degrees
Sites, in units of the cell vectors:
B1 0.5000 0.5000 0.5000
Cd1 0.0000 0.0000 0.5000
Cd2 0.5000 0.0000 0.0000
Rh1 0.0000 0.0000 0.0000
Rb1 0.0000 0.5000 0.0000

Summary:
As for the space-group type: No. 123. The value obtained for the formation energy is 600 kJ/mol of formula units.

No. 8
## Rb3CdB2S6 (PBE)

Data for a relaxed Rb3CdB2S6 crystal.

Cell lengths 6.7773, 6.7773, 9.0194 Å; angles 90.00, 90.00, 120.00 degrees
Sites, in units of the cell vectors:
S1 0.8218 0.6435 0.7051
S2 0.6435 0.8218 0.2949
S3 0.8218 0.1782 0.7051
S4 0.1782 0.3565 0.2949
S5 0.3565 0.1782 0.7051
S6 0.1782 0.8218 0.2949
Rb1 0.3333 0.6667 0.6668
Rb2 0.0000 0.0000 0.0000
Rb3 0.6667 0.3333 0.3332
B1 0.6667 0.3333 0.6962
B2 0.3333 0.6667 0.3038
Cd1 0.0000 0.0000 0.5000

Summary:
As for the space-group type: No. 164. For the formation energy (no corrections), the calculation gives -708 meV per atom.

No. 9
## RbCd2BTe (PBE)

Data for a relaxed RbCd2BTe crystal.

Cell lengths 6.8938, 4.4154, 6.8938 Å; angles 90.00, 90.00, 90.00 degrees
Sites, in units of the cell vectors:
B1 0.0000 0.5000 0.0000
Cd1 0.5000 0.0000 0.0000
Cd2 0.0000 0.0000 0.5000
Te1 0.0000 0.0000 0.0000
Rb1 0.5000 0.5000 0.5000

Summary:
As for the space-group type: No. 123. For the formation energy (no corrections), the calculation gives 742 meV per atom.

No. 10
## Rb2ZrCdB (PBE)

Data for a relaxed Rb2ZrCdB crystal.

Cell lengths 7.0518, 4.1887, 7.0518 Å; angles 90.00, 90.00, 90.00 degrees
Sites, in units of the cell vectors:
B1 0.0000 0.5000 0.0000
Rb1 0.0000 0.0000 0.5000
Rb2 0.5000 0.0000 0.0000
Zr1 0.5000 0.5000 0.5000
Cd1 0.0000 0.0000 0.0000

Summary:
As for the space-group type: No. 123. The value obtained for the formation energy is 652 kJ/mol of formula units.

No. 11
## CdReB2 (PBE)

Data for a relaxed CdReB2 crystal.

Cell lengths 5.2202, 5.2202, 6.0800 Å; angles 64.58, 64.58, 90.00 degrees
Sites, in units of the cell vectors:
B1 0.3750 0.3082 0.7500
B2 0.6918 0.1250 0.2500
B3 0.0582 0.6250 0.2500
B4 0.8750 0.9418 0.7500
Cd1 0.5000 0.5000 0.0000
Cd2 0.2500 0.7500 0.5000
Re1 0.0000 0.0000 0.0000
Re2 0.7500 0.2500 0.5000

Summary:
As for the space-group type: No. 122. The value obtained for the formation energy is 338 kJ/mol of formula units.

No. 12
## CdRe3B (PBE)

Data for a relaxed CdRe3B crystal.

Cell lengths 4.1893, 4.1893, 4.1893 Å; angles 90.00, 90.00, 90.00 degrees
Sites, in units of the cell vectors:
B1 0.0000 0.0000 0.0000
Re1 0.0000 0.5000 0.0000
Re2 0.0000 0.0000 0.5000
Re3 0.5000 0.0000 0.0000
Cd1 0.5000 0.5000 0.5000

Summary:
As for the space-group type: No. 221. Its distance to the lowest polymorph of the same formula is 0 meV/atom. The value obtained for the formation energy is 265 kJ/mol of formula units.

no.,DOS(E_F) (states/eV/f.u.),total moment (Bohr magnetons per cell)
1,3.03,0.253
2,13.80,0.000
3,7.62,10.644
4,13.21,9.562
5,4.69,1.341
6,3.22,0.000
7,5.66,1.138
8,5.17,0.000
9,3.53,0.000
10,5.49,2.647
11,1.62,0.000
12,6.55,0.000